Record 1
CrCdW2 | SCAN | single point on PBEsol structure

a = 3.1286 Å, b = 3.1286 Å, c = 6.4585 Å
α = 90.00°, β = 90.00°, γ = 90.00°
Closest atoms and distances in Å follow each position.
Element x y z (fractional)
Cr 0.0000 0.0000 0.0000  5 W 2.58-2.82, 4 Cd 2.81
Cd 0.5000 0.5000 0.7318  4 Cr 2.81, 5 W 2.92-3.05, 4 Cd 3.13
W 0.0000 0.0000 0.4364  4 W 2.67, 1 Cr 2.82, 4 Cd 2.92
W 0.5000 0.5000 0.2043  4 Cr 2.58, 4 W 2.67

- DFT formation energy (eV per atom) = 0.435



Record 2
CrCdW2 | SCAN | single point on PBEsol structure

a = 5.2388 Å, b = 5.2388 Å, c = 2.6617 Å
α = 99.33°, β = 99.33°, γ = 117.75°
Closest atoms and distances in Å follow each position.
Element x y z (fractional)
Cr 0.0000 0.0000 0.0000  2 Cr 2.66, 2 Cd 2.71, 4 W 2.74
Cd 0.5000 0.5000 0.0000  2 Cd 2.66, 2 Cr 2.71, 4 W 2.74
W 0.0000 0.5000 0.5000  4 W 2.66-2.71, 2 Cd 2.74, 2 Cr 2.74
W 0.5000 0.0000 0.5000  4 W 2.66-2.71, 2 Cr 2.74, 2 Cd 2.74

- DFT formation energy (eV per atom) = 0.587



Record 3
CrCdW2 | SCAN | single point on PBEsol structure

a = 3.8312 Å, b = 3.8312 Å, c = 4.1599 Å
α = 90.00°, β = 90.00°, γ = 90.00°
Closest atoms and distances in Å follow each position.
Element x y z (fractional)
Cr 0.0000 0.0000 0.0000  4 Cd 2.71, 8 W 2.83
Cd 0.5000 0.5000 0.0000  4 Cr 2.71, 8 W 2.83
W 0.0000 0.5000 0.5000  4 W 2.71, 4 Cd 2.83, 4 Cr 2.83
W 0.5000 0.0000 0.5000  4 W 2.71, 4 Cd 2.83, 4 Cr 2.83

- DFT formation energy (eV per atom) = 0.582



Record 4
CrCdW2 | SCAN | single point on PBEsol structure

a = 4.8005 Å, b = 4.8005 Å, c = 5.1027 Å
α = 95.78°, β = 95.78°, γ = 31.89°
Closest atoms and distances in Å follow each position.
Element x y z (fractional)
Cr 0.0000 0.0000 0.0000  2 Cr 2.64, 3 Cd 2.75-2.82, 7 W 2.76-2.92
Cd 0.2519 0.2519 0.7547  2 Cd 2.64, 3 Cr 2.75-2.82, 7 W 2.78-2.92
W 0.4999 0.4999 0.4896  5 W 2.64-2.85, 3 Cd 2.78-2.89, 4 Cr 2.83-2.92
W 0.7471 0.7471 0.2434  5 W 2.64-2.85, 3 Cr 2.76-2.81, 4 Cd 2.83-2.92

- DFT formation energy (eV per atom) = 0.686



Record 5
ZnCr2Cd | SCAN | single point on PBEsol structure

a = 4.9840 Å, b = 4.9840 Å, c = 2.5583 Å
α = 95.20°, β = 95.20°, γ = 119.03°
Closest atoms and distances in Å follow each position.
Element x y z (fractional)
Zn 0.0000 0.0000 0.0000  2 Cd 2.53, 2 Zn 2.56, 4 Cr 2.70
Cr 0.0000 0.5000 0.5000  4 Cr 2.53-2.56, 2 Cd 2.70, 2 Zn 2.70
Cr 0.5000 0.0000 0.5000  4 Cr 2.53-2.56, 2 Cd 2.70, 2 Zn 2.70
Cd 0.5000 0.5000 0.0000  2 Zn 2.53, 2 Cd 2.56, 4 Cr 2.70

- DFT formation energy (eV per atom) = 0.528
- distance to the lowest polymorph of the same formula (eV/atom) = 0.442



Record 6
ZnCr2Cd | SCAN | single point on PBEsol structure

a = 3.3999 Å, b = 3.9853 Å, c = 4.3566 Å
α = 90.00°, β = 90.00°, γ = 90.00°
Closest atoms and distances in Å follow each position.
Element x y z (fractional)
Zn 0.0000 0.0000 0.0000  4 Cd 2.62, 4 Cr 2.76
Cr 0.0000 0.5000 0.5000  4 Cr 2.62, 4 Cd 2.76
Cr 0.5000 0.0000 0.5000  4 Cr 2.62, 4 Zn 2.76
Cd 0.5000 0.5000 0.0000  4 Zn 2.62, 4 Cr 2.76

- DFT formation energy (eV per atom) = 0.124
- distance to the lowest polymorph of the same formula (eV/atom) = 0.039



Record 7
ZnCr2Cd | SCAN | single point on PBEsol structure

a = 4.7674 Å, b = 4.7674 Å, c = 4.7674 Å
α = 131.39°, β = 131.39°, γ = 71.19°
Closest atoms and distances in Å follow each position.
Element x y z (fractional)
Zn 0.0000 0.0000 0.0000  8 Cr 2.76-2.77, 4 Cd 2.76
Cr 0.2500 0.7500 0.5000  4 Cr 2.76, 4 Zn 2.76, 4 Cd 2.77
Cr 0.5000 0.5000 0.0000  4 Cd 2.76, 4 Cr 2.76, 4 Zn 2.77
Cd 0.7500 0.2500 0.5000  8 Cr 2.76-2.77, 4 Zn 2.76

- DFT formation energy (eV per atom) = 0.085
- distance to the lowest polymorph of the same formula (eV/atom) = 0.000



Record 8
Zn2CrCd | SCAN | single point on PBEsol structure

a = 4.0090 Å, b = 4.0090 Å, c = 3.7725 Å
α = 90.00°, β = 90.00°, γ = 90.00°
Closest atoms and distances in Å follow each position.
Element x y z (fractional)
Zn 0.0000 0.5000 0.0000  4 Cd 2.75, 4 Cr 2.75, 4 Zn 2.83
Zn 0.5000 0.0000 0.0000  4 Cd 2.75, 4 Cr 2.75, 4 Zn 2.83
Cr 0.0000 0.0000 0.5000  8 Zn 2.75, 4 Cd 2.83
Cd 0.5000 0.5000 0.5000  8 Zn 2.75, 4 Cr 2.83

- DFT formation energy (eV per atom) = 0.084



Record 9
Zn3CrCd | SCAN | single point on PBEsol structure

a = 4.7634 Å, b = 4.7634 Å, c = 4.7634 Å
α = 90.00°, β = 90.00°, γ = 90.00°
Closest atoms and distances in Å follow each position.
Element x y z (fractional)
Zn 0.0000 0.0000 0.5000  2 Cr 2.38
Zn 0.0000 0.5000 0.0000  2 Cr 2.38
Zn 0.5000 0.0000 0.0000  2 Cr 2.38
Cr 0.0000 0.0000 0.0000  6 Zn 2.38
Cd 0.5000 0.5000 0.5000  12 Zn 3.37

- DFT formation energy (eV per atom) = 0.670



Record 10
Zn2CrCd | SCAN | single point on PBEsol structure

a = 4.9515 Å, b = 4.9515 Å, c = 4.9515 Å
α = 133.39°, β = 133.39°, γ = 68.04°
Closest atoms and distances in Å follow each position.
Element x y z (fractional)
Zn 0.0000 0.0000 0.0000  4 Cd 2.77, 4 Cr 2.84, 4 Zn 2.84
Zn 0.7500 0.2500 0.5000  4 Cr 2.77, 4 Cd 2.84, 4 Zn 2.84
Cr 0.2500 0.7500 0.5000  8 Zn 2.77-2.84, 4 Cd 2.84
Cd 0.5000 0.5000 0.0000  8 Zn 2.77-2.84, 4 Cr 2.84

- DFT formation energy (eV per atom) = 0.077



Record 11
ZnCr2Cd | SCAN | single point on PBEsol structure

a = 2.5628 Å, b = 2.5628 Å, c = 8.3033 Å
α = 90.00°, β = 90.00°, γ = 90.00°
Closest atoms and distances in Å follow each position.
Element x y z (fractional)
Zn 0.0000 0.0000 0.0000  4 Zn 2.56, 8 Cr 2.65
Cr 0.5000 0.5000 0.2324  4 Cr 2.56, 4 Zn 2.65, 4 Cd 2.87
Cr 0.5000 0.5000 0.7676  4 Cr 2.56, 4 Zn 2.65, 4 Cd 2.87
Cd 0.0000 0.0000 0.5000  4 Cd 2.56, 8 Cr 2.87

- DFT formation energy (eV per atom) = 0.512
- distance to the lowest polymorph of the same formula (eV/atom) = 0.426



Record 12
Zr2CrCd | SCAN | single point on PBEsol structure

a = 9.7075 Å, b = 9.7075 Å, c = 9.7075 Å
α = 18.23°, β = 18.23°, γ = 18.23°
Closest atoms and distances in Å follow each position.
Element x y z (fractional)
Zr 0.0000 0.0000 0.0000  9 Zr 3.08-3.14, 3 Cd 3.14
Zr 0.2428 0.2428 0.2428  3 Cr 2.76, 6 Zr 3.08
Cr 0.5024 0.5024 0.5024  3 Zr 2.76, 3 Cd 2.87, 6 Cr 3.08
Cd 0.7570 0.7570 0.7570  3 Cr 2.87, 6 Cd 3.08, 3 Zr 3.14

- DFT formation energy (eV per atom) = 0.222